The following is a PBE calculation of a relaxed Y3TmCo2 crystal, from the Alexandria database.

Computed properties:
E_form: -162 meV per atom
final energy: -6.5079 eV per atom
V: 295 Å³ per cell
relative energy among the computed polymorphs: 0 meV per atom
DOS at the Fermi energy: 7.5 states/eV/f.u.
spin magnetization: 0.000 μB/atom

Unit cell a=8.423 b=8.423 c=11.494 alpha=122.58 beta=122.58 gamma=25.70
Sites, in units of the cell vectors:
Y 0.083 0.083 0.437
Y 0.083 0.083 0.942
Y 0.340 0.340 0.254
Y 0.660 0.660 0.746
Y 0.917 0.917 0.058
Y 0.917 0.917 0.563
Tm 0.338 0.338 0.751
Tm 0.662 0.662 0.249
Co 0.267 0.267 0.453
Co 0.267 0.267 0.953
Co 0.733 0.733 0.047
Co 0.733 0.733 0.547